## Ba3Sb4Os2 (GGA-PBE)

Data for an optimized crystal structure of Ba3Sb4Os2.

Values from the calculation:
- uncorrected energy (eV/cell) = -96.27

a = 17.998 Å, b = 4.458 Å, c = 8.148 Å
α = 90.00°, β = 114.47°, γ = 90.00°
Space group C2/m (No. 12)
Symmetry-distinct sites (fractional):
1 Ba 0.000 0.000 0.000 x2
2 Ba 0.139 0.000 0.701 x4
3 Sb 0.031 0.500 0.346 x4
4 Sb 0.199 0.000 0.253 x4
5 Os 0.188 0.500 0.419 x4